Record 1
Nd2Dy2CF5, relaxed, DFT PBE; space group = C2/m; magnetization = 0.0 Bohr magnetons per cell; total energy = -63.7 eV per cell
1.0
7.472 -1.779 0.000
7.472 1.779 0.000
-2.660 0.000 6.636
Nd Dy C F
2 2 1 5
direct
0.004 0.004 0.245 Nd
0.996 0.996 0.755 Nd
0.332 0.332 0.870 Dy
0.668 0.668 0.130 Dy
0.500 0.500 0.000 C
0.179 0.179 0.918 F
0.188 0.188 0.340 F
0.500 0.500 0.500 F
0.812 0.812 0.660 F
0.821 0.821 0.082 F

Record 2
Dy2Sc2CF5, relaxed, DFT PBE; space group = C2/m; magnetization = 0.0 Bohr magnetons per cell; total energy = -67.1 eV per cell
1.0
6.992 -1.663 0.000
6.992 1.663 0.000
-2.200 0.000 6.504
Dy Sc C F
2 2 1 5
direct
0.006 0.006 0.242 Dy
0.994 0.994 0.758 Dy
0.338 0.338 0.895 Sc
0.662 0.662 0.105 Sc
0.500 0.500 0.000 C
0.176 0.176 0.890 F
0.186 0.186 0.315 F
0.500 0.500 0.500 F
0.814 0.814 0.685 F
0.824 0.824 0.110 F

Record 3
Sm2Dy2CF5, relaxed, DFT PBE; space group = C2/m; magnetization = 0.0 Bohr magnetons per cell; total energy = -63.7 eV per cell
1.0
7.442 -1.762 0.000
7.442 1.762 0.000
-2.465 0.000 6.573
Sm Dy C F
2 2 1 5
direct
0.001 0.001 0.260 Sm
0.999 0.999 0.740 Sm
0.333 0.333 0.365 Dy
0.667 0.667 0.635 Dy
0.500 0.500 0.500 C
0.179 0.179 0.417 F
0.180 0.180 0.850 F
0.500 0.500 0.000 F
0.820 0.820 0.150 F
0.821 0.821 0.583 F

Record 4
Dy2Tm2CF5, relaxed, DFT PBE; space group = C2/m; magnetization = 0.0 Bohr magnetons per cell; total energy = -63.1 eV per cell
1.0
7.311 -1.720 0.000
7.311 1.720 0.000
-2.319 0.000 6.377
Dy Tm C F
2 2 1 5
direct
0.001 0.001 0.261 Dy
0.999 0.999 0.739 Dy
0.334 0.334 0.367 Tm
0.666 0.666 0.633 Tm
0.500 0.500 0.500 C
0.178 0.178 0.408 F
0.178 0.178 0.852 F
0.500 0.500 0.000 F
0.822 0.822 0.148 F
0.822 0.822 0.592 F

Record 5
DyTmCF2, relaxed, DFT PBE; space group = P3m1; magnetization = 0.0 Bohr magnetons per cell; total energy = -34.2 eV per cell
1.0
3.594 0.000 0.000
-1.797 3.112 0.000
0.000 0.000 6.279
Dy Tm C F
1 1 1 2
direct
0.000 0.000 0.000 Dy
0.667 0.333 0.423 Tm
0.333 0.667 0.212 C
0.000 0.000 0.588 F
0.667 0.333 0.818 F

Record 6
DyFe2C2, relaxed, DFT PBE; space group = I4/mmm; magnetization = 0.0 Bohr magnetons per cell; total energy = -81.5 eV per cell
1.0
3.449 0.000 0.000
0.000 3.449 0.000
0.000 0.000 9.484
Dy Fe C
2 4 4
direct
0.000 0.000 0.000 Dy
0.500 0.500 0.500 Dy
0.000 0.500 0.250 Fe
0.000 0.500 0.750 Fe
0.500 0.000 0.250 Fe
0.500 0.000 0.750 Fe
0.000 0.000 0.342 C
0.000 0.000 0.658 C
0.500 0.500 0.158 C
0.500 0.500 0.842 C

Record 7
DyFe3C3, relaxed, DFT PBE; space group = P6_3/mmc; magnetization = 3.9 Bohr magnetons per cell; total energy = -114.3 eV per cell
1.0
3.270 0.000 0.000
-1.635 2.832 0.000
0.000 0.000 16.357
Dy Fe C
2 6 6
direct
0.000 0.000 0.000 Dy
0.000 0.000 0.500 Dy
0.333 0.667 0.139 Fe
0.333 0.667 0.361 Fe
0.333 0.667 0.750 Fe
0.667 0.333 0.250 Fe
0.667 0.333 0.639 Fe
0.667 0.333 0.861 Fe
0.333 0.667 0.250 C
0.333 0.667 0.608 C
0.333 0.667 0.892 C
0.667 0.333 0.108 C
0.667 0.333 0.392 C
0.667 0.333 0.750 C

Record 8
Dy2Fe2C3, relaxed, DFT PBE; space group = C2/m; magnetization = 0.0 Bohr magnetons per cell; total energy = -110.7 eV per cell
1.0
10.009 0.000 0.000
0.000 3.401 0.000
-3.413 0.000 5.076
Dy Fe C
4 4 6
direct
0.069 0.000 0.331 Dy
0.431 0.500 0.669 Dy
0.569 0.500 0.331 Dy
0.931 0.000 0.669 Dy
0.203 0.500 0.087 Fe
0.297 0.000 0.913 Fe
0.703 0.000 0.087 Fe
0.797 0.500 0.913 Fe
0.000 0.500 0.000 C
0.194 0.500 0.752 C
0.306 0.000 0.248 C
0.500 0.000 0.000 C
0.694 0.000 0.752 C
0.806 0.500 0.248 C